Compound: TlCdGa2
Source: Alexandria via LeMat-Bulk
Functional: PBE
Structure: relaxed

## Properties
Space-group type   Cm (8)

Lattice parameters (Å, degrees): 4.312 6.978 6.811 93.43 90.00 108.00
Sites, in units of the cell vectors:
Tl 0.464 0.929 0.251
Tl 0.330 0.660 0.812
Cd 0.987 0.973 0.638
Cd 0.166 0.332 0.389
Ga 0.800 0.599 0.451
Ga 0.726 0.452 0.079
Ga 0.634 0.269 0.707
Ga 0.097 0.194 0.992

Compound: TmInNi3
Source: Alexandria via LeMat-Bulk
Functional: PBE
Structure: relaxed

## Properties
Space-group type   Cmcm (63)

Lattice parameters (Å, degrees): 4.978 4.708 7.463 90.00 109.48 90.00
Sites, in units of the cell vectors:
Tm 0.202 0.250 0.404
Tm 0.798 0.750 0.596
In 0.570 0.250 0.140
In 0.430 0.750 0.860
Ni 0.138 0.250 0.759
Ni 0.621 0.250 0.759
Ni 0.379 0.750 0.241
Ni 0.862 0.750 0.241
Ni 0.000 0.000 0.000
Ni 0.000 0.500 0.000

Calculated total energy: -2.268; -5.185 (eV/atom)
Formation enthalpy at 0 K: 66.0; -274.2 (meV per atom)